(1)
VASP calculation (PBE-GGA) on an optimized crystal structure of Cu4SnS5.

Unit cell a=6.1718 b=6.1718 c=6.1718 alpha=99.86 beta=99.86 gamma=131.10
With the nearest neighbours (Å) after each atom.
Element x y z (fractional)
Cu 0.1076 0.3006 0.4082  6 S 2.47-2.56
Cu 0.3006 0.8924 0.1930  6 S 2.47-2.56
Cu 0.6994 0.1076 0.8070  6 S 2.47-2.56
Cu 0.8924 0.6994 0.5918  6 S 2.47-2.56
Sn 0.5000 0.5000 0.0000  6 S 2.55-2.61
S 0.0000 0.0000 0.0000  4 Cu 2.54, 2 Sn 2.55
S 0.1883 0.6023 0.7906  5 Cu 2.47-2.56, 1 Sn 2.61
S 0.3977 0.1883 0.5860  5 Cu 2.47-2.56, 1 Sn 2.61
S 0.6023 0.8117 0.4140  5 Cu 2.47-2.56, 1 Sn 2.61
S 0.8117 0.3977 0.2094  5 Cu 2.47-2.56, 1 Sn 2.61

Output
Crystal system   tetragonal
Calculated density   5.49 g/cm3
Final energy   -4.22 eV per atom
DOS(E_F)   5.1 states/eV/cell
Total magnetization   0.00 μB/atom
Symmetry   No. 87

***

(2)
VASP calculation (PBE-GGA) on an optimized crystal structure of CuSn3S.

Unit cell a=5.3188 b=5.3188 c=5.3188 alpha=90.00 beta=90.00 gamma=90.00
With the nearest neighbours (Å) after each atom.
Element x y z (fractional)
Cu 0.0000 0.0000 0.0000  12 Sn 3.76
Sn 0.0000 0.5000 0.5000  2 S 2.66
Sn 0.5000 0.0000 0.5000  2 S 2.66
Sn 0.5000 0.5000 0.0000  2 S 2.66
S 0.5000 0.5000 0.5000  6 Sn 2.66

Output
Energy above the lowest structure with this stoichiometry   313 meV per atom
Crystal system   cubic
Calculated density   4.99 g/cm3
Final energy   -3.46 eV per atom
DOS(E_F)   3.6 states/eV/cell
Total magnetization   0.00 μB/atom
Symmetry   No. 221

***

(3)
VASP calculation (PBE-GGA) on an optimized crystal structure of CuSnS3.

Unit cell a=7.8134 b=7.8134 c=7.8134 alpha=47.33 beta=47.33 gamma=47.33
With the nearest neighbours (Å) after each atom.
Element x y z (fractional)
Cu 0.0680 0.0680 0.0680  3 S 2.20
Cu 0.9320 0.9320 0.9320  3 S 2.20
Sn 0.3337 0.3337 0.3337  6 S 2.59
Sn 0.6663 0.6663 0.6663  6 S 2.59
S 0.0758 0.7278 0.4270  1 Cu 2.20
S 0.2722 0.5730 0.9242  1 Cu 2.20
S 0.4270 0.0758 0.7278  1 Cu 2.20
S 0.5730 0.9242 0.2722  1 Cu 2.20
S 0.7278 0.4270 0.0758  1 Cu 2.20
S 0.9242 0.2722 0.5730  1 Cu 2.20

Output
Energy above the lowest structure with this stoichiometry   0 meV per atom
Crystal system   trigonal
Calculated density   3.92 g/cm3
Final energy   -4.29 eV per atom
DOS(E_F)   8.0 states/eV/cell
Total magnetization   0.00 μB/atom
Symmetry   No. 148

***

(4)
VASP calculation (PBE-GGA) on an optimized crystal structure of Cu3Sn3S8.

Unit cell a=7.3418 b=7.3418 c=7.3418 alpha=60.62 beta=60.62 gamma=60.62
With the nearest neighbours (Å) after each atom.
Element x y z (fractional)
Cu 0.0000 0.0000 0.0000  6 S 2.50
Cu 0.3883 0.3883 0.3883  4 S 2.30-2.44
Cu 0.6117 0.6117 0.6117  4 S 2.30-2.44
Sn 0.0000 0.0000 0.5000  6 S 2.58-2.63
Sn 0.0000 0.5000 0.0000  6 S 2.58-2.63
Sn 0.5000 0.0000 0.0000  6 S 2.58-2.63
S 0.2344 0.7603 0.7603  2 Cu 2.30-2.50
S 0.2397 0.2397 0.7656  2 Cu 2.30-2.50
S 0.2397 0.7656 0.2397  2 Cu 2.30-2.50
S 0.2518 0.2518 0.2518  1 Cu 2.44, 3 Sn 2.63
S 0.7482 0.7482 0.7482  1 Cu 2.44, 3 Sn 2.63
S 0.7603 0.2344 0.7603  2 Cu 2.30-2.50
S 0.7603 0.7603 0.2344  2 Cu 2.30-2.50
S 0.7656 0.2397 0.2397  2 Cu 2.30-2.50

Output
Crystal system   trigonal
Calculated density   4.70 g/cm3
Final energy   -4.41 eV per atom
DOS(E_F)   7.1 states/eV/cell
Total magnetization   0.04 μB/atom
Symmetry   No. 166